Entry 1:
{
  "formula": "BeB2",
  "functional": "PBE",
  "state": "optimized geometry",
  "cell": [[2.931, 0.000, 0.000], [-1.466, 2.539, 0.000], [0.000, 0.000, 2.862]],
  "species": ["Be", "B", "B"],
  "fractional_positions": [[0.000, 0.000, 0.000], [0.333, 0.667, 0.500], [0.667, 0.333, 0.500]],
  "formation_enthalpy_0k_mev_per_atom": 112,
  "total_energy_ev_per_cell": -16.74
}

---

Entry 2:
{
  "formula": "SrHfPd2Pb",
  "functional": "PBE",
  "state": "optimized geometry",
  "cell": [[5.015, 0.000, 0.000], [0.000, 5.015, 0.000], [0.000, 0.000, 6.098]],
  "species": ["Sr", "Hf", "Pd", "Pd", "Pb"],
  "fractional_positions": [[0.000, 0.000, 0.000], [0.000, 0.000, 0.500], [0.000, 0.500, 0.500], [0.500, 0.000, 0.500], [0.500, 0.500, 0.000]],
  "formation_enthalpy_0k_mev_per_atom": 463,
  "total_energy_ev_per_cell": -23.41
}

---

Entry 3:
{
  "formula": "Be2OsW2",
  "functional": "PBE",
  "state": "optimized geometry",
  "cell": [[6.210, 0.000, 0.000], [0.000, 6.210, 0.000], [0.000, 0.000, 3.151]],
  "species": ["Be", "Be", "Be", "Be", "Os", "Os", "W", "W", "W", "W"],
  "fractional_positions": [[0.120, 0.380, 0.000], [0.380, 0.880, 0.000], [0.620, 0.120, 0.000], [0.880, 0.620, 0.000], [0.000, 0.000, 0.000], [0.500, 0.500, 0.000], [0.172, 0.672, 0.500], [0.328, 0.172, 0.500], [0.672, 0.828, 0.500], [0.828, 0.328, 0.500]],
  "formation_enthalpy_0k_mev_per_atom": -121,
  "total_energy_ev_per_cell": -90.39
}

---

Entry 4:
{
  "formula": "NbAl2Cu",
  "functional": "PBE",
  "state": "optimized geometry",
  "cell": [[6.934, 0.000, 0.000], [0.000, 6.934, 0.000], [0.000, 0.000, 5.440]],
  "species": ["Nb", "Nb", "Nb", "Nb", "Al", "Al", "Al", "Al", "Al", "Al", "Al", "Al", "Cu", "Cu", "Cu", "Cu"],
  "fractional_positions": [[0.000, 0.000, 0.000], [0.000, 0.500, 0.250], [0.500, 0.000, 0.750], [0.500, 0.500, 0.500], [0.210, 0.750, 0.625], [0.250, 0.210, 0.375], [0.250, 0.290, 0.875], [0.290, 0.750, 0.125], [0.710, 0.250, 0.125], [0.750, 0.710, 0.875], [0.750, 0.790, 0.375], [0.790, 0.250, 0.625], [0.000, 0.000, 0.500], [0.000, 0.500, 0.750], [0.500, 0.000, 0.250], [0.500, 0.500, 0.000]],
  "formation_enthalpy_0k_mev_per_atom": 74,
  "total_energy_ev_per_cell": -85.41
}

---

Entry 5:
{
  "formula": "MnIrOs2",
  "functional": "PBE",
  "state": "optimized geometry",
  "cell": [[8.941, 0.000, 0.000], [0.000, 2.711, 0.000], [-0.800, 0.000, 4.583]],
  "species": ["Mn", "Mn", "Ir", "Ir", "Os", "Os", "Os", "Os"],
  "fractional_positions": [[0.000, 0.000, 0.000], [0.500, 0.500, 0.000], [0.248, 0.000, 0.759], [0.748, 0.500, 0.759], [0.250, 0.500, 0.256], [0.499, 0.000, 0.494], [0.750, 0.000, 0.256], [0.999, 0.500, 0.494]],
  "formation_enthalpy_0k_mev_per_atom": 25,
  "total_energy_ev_per_cell": -80.78
}

---

Entry 6:
{
  "formula": "Na2TaMo2",
  "functional": "PBE",
  "state": "optimized geometry",
  "cell": [[8.696, 0.000, 0.000], [0.000, 8.696, 0.000], [0.000, 0.000, 2.608]],
  "species": ["Na", "Na", "Na", "Na", "Ta", "Ta", "Mo", "Mo", "Mo", "Mo"],
  "fractional_positions": [[0.196, 0.304, 0.000], [0.304, 0.804, 0.000], [0.696, 0.196, 0.000], [0.804, 0.696, 0.000], [0.000, 0.000, 0.500], [0.500, 0.500, 0.500], [0.099, 0.599, 0.500], [0.401, 0.099, 0.500], [0.599, 0.901, 0.500], [0.901, 0.401, 0.500]],
  "formation_enthalpy_0k_mev_per_atom": 1358,
  "total_energy_ev_per_cell": -58.73
}

---

Entry 7:
{
  "formula": "MgTe2Ru",
  "functional": "PBE",
  "state": "optimized geometry",
  "cell": [[3.178, 0.000, 0.000], [0.000, 3.178, 0.000], [0.000, 0.000, 9.500]],
  "species": ["Mg", "Te", "Te", "Ru"],
  "fractional_positions": [[0.000, 0.000, 0.000], [0.000, 0.000, 0.346], [0.500, 0.500, 0.735], [0.500, 0.500, 0.191]],
  "total_energy_ev_per_cell": -17.82
}

---

Entry 8:
{
  "formula": "MgPdF",
  "functional": "PBE",
  "state": "optimized geometry",
  "cell": [[13.307, 0.000, 0.000], [0.000, 2.925, 0.000], [0.000, 0.000, 5.072]],
  "species": ["Mg", "Mg", "Mg", "Mg", "Pd", "Pd", "Pd", "Pd", "F", "F", "F", "F"],
  "fractional_positions": [[0.000, 0.000, 0.000], [0.000, 0.500, 0.500], [0.500, 0.000, 0.134], [0.500, 0.500, 0.634], [0.153, 0.000, 0.333], [0.153, 0.500, 0.833], [0.847, 0.000, 0.333], [0.847, 0.500, 0.833], [0.414, 0.000, 0.801], [0.414, 0.500, 0.301], [0.586, 0.000, 0.801], [0.586, 0.500, 0.301]],
  "total_energy_ev_per_cell": -54.26
}

---

Entry 9:
{
  "formula": "NaCa2O",
  "functional": "PBE",
  "state": "optimized geometry",
  "cell": [[7.162, 0.000, 0.000], [0.000, 7.162, 0.000], [0.000, 0.000, 10.091]],
  "species": ["Na", "Na", "Na", "Na", "Ca", "Ca", "Ca", "Ca", "Ca", "Ca", "Ca", "Ca", "O", "O", "O", "O"],
  "fractional_positions": [[0.000, 0.000, 0.000], [0.000, 0.500, 0.250], [0.500, 0.000, 0.750], [0.500, 0.500, 0.500], [0.058, 0.250, 0.625], [0.250, 0.558, 0.875], [0.250, 0.942, 0.375], [0.442, 0.250, 0.125], [0.558, 0.750, 0.125], [0.750, 0.058, 0.375], [0.750, 0.442, 0.875], [0.942, 0.750, 0.625], [0.000, 0.000, 0.500], [0.000, 0.500, 0.750], [0.500, 0.000, 0.250], [0.500, 0.500, 0.000]],
  "total_energy_ev_per_cell": -62.46
}

---

Entry 10:
{
  "formula": "LaPm2TmHg4",
  "functional": "PBE",
  "state": "optimized geometry",
  "cell": [[2.678, 1.546, 8.878], [-2.678, 1.546, 8.878], [0.000, -3.093, 8.878]],
  "species": ["La", "Pm", "Pm", "Tm", "Hg", "Hg", "Hg", "Hg"],
  "fractional_positions": [[0.000, 0.000, 0.000], [0.249, 0.249, 0.249], [0.751, 0.751, 0.751], [0.500, 0.500, 0.500], [0.128, 0.128, 0.128], [0.380, 0.380, 0.380], [0.620, 0.620, 0.620], [0.872, 0.872, 0.872]],
  "formation_enthalpy_0k_mev_per_atom": -468,
  "total_energy_ev_per_cell": -23.85
}

---

Entry 11:
{
  "formula": "Sm2BeGa2Au4",
  "functional": "PBE",
  "state": "optimized geometry",
  "cell": [[-3.241, 3.241, 4.280], [3.241, -3.241, 4.280], [3.241, 3.241, -4.280]],
  "species": ["Sm", "Sm", "Be", "Ga", "Ga", "Au", "Au", "Au", "Au"],
  "fractional_positions": [[0.250, 0.750, 0.500], [0.750, 0.250, 0.500], [0.000, 0.000, 0.000], [0.301, 0.301, 0.000], [0.699, 0.699, 0.000], [0.256, 0.256, 0.512], [0.256, 0.744, 0.000], [0.744, 0.256, 0.000], [0.744, 0.744, 0.488]],
  "formation_enthalpy_0k_mev_per_atom": -535,
  "total_energy_ev_per_cell": -37.15
}

---

Entry 12:
{
  "formula": "Nd5ErSc4",
  "functional": "PBE",
  "state": "optimized geometry",
  "cell": [[-4.988, 4.988, 3.105], [4.988, -4.988, 3.105], [4.988, 4.988, -3.105]],
  "species": ["Nd", "Nd", "Nd", "Nd", "Nd", "Er", "Sc", "Sc", "Sc", "Sc"],
  "fractional_positions": [[0.000, 0.000, 0.000], [0.481, 0.581, 0.600], [0.581, 0.981, 0.100], [0.880, 0.481, 0.900], [0.981, 0.880, 0.400], [0.463, 0.463, 0.000], [0.176, 0.594, 0.302], [0.291, 0.873, 0.698], [0.594, 0.291, 0.418], [0.873, 0.176, 0.582]],
  "formation_enthalpy_0k_mev_per_atom": 330,
  "total_energy_ev_per_cell": -50.43
}